# 1
# Li2Al3Pd

Li2Al3Pd after structural relaxation (PBE, Alexandria via LeMat-Bulk).

SG	Cmmm (65)
DFT formation energy	-0.4054	eV per atom
Fermi-level density of states	3.03	states/eV per cell
crystal system	orthorhombic
energy relative to the lowest polymorph listed for this composition	0.000	eV/atom
raw total energy	-3.780	eV per atom

abc: 6.960 6.960 6.015
angles: 90.00 90.00 143.06
Element x y z (fractional)
1 Li 0.000 0.000 0.000
2 Li 0.000 0.000 0.500
3 Li 0.337 0.663 0.500
4 Li 0.663 0.337 0.500
5 Al 0.831 0.169 0.751
6 Al 0.500 0.500 0.252
7 Al 0.169 0.831 0.249
8 Al 0.831 0.169 0.249
9 Al 0.169 0.831 0.751
10 Al 0.500 0.500 0.748
11 Pd 0.340 0.660 0.000
12 Pd 0.660 0.340 0.000

# 2
# CdAg2P

CdAg2P after structural relaxation (PBE, Alexandria via LeMat-Bulk).

SG	C2/m (12)
DFT formation energy	0.1938	eV per atom
Fermi-level density of states	1.45	states/eV per cell
crystal system	monoclinic
energy relative to the lowest polymorph listed for this composition	0.040	eV/atom
raw total energy	-2.813	eV per atom

abc: 4.895 4.895 5.413
angles: 77.93 77.93 35.51
Element x y z (fractional)
1 Ag 0.991 0.991 0.010
2 Ag 0.509 0.509 0.490
3 Cd 0.750 0.750 0.750
4 P 0.250 0.250 0.250

# 3
# MgBr

MgBr after structural relaxation (PBE, Alexandria via LeMat-Bulk).

SG	Pmmn (59)
Fermi-level density of states	1.23	states/eV per cell
crystal system	orthorhombic
raw total energy	-2.181	eV per atom

abc: 3.681 5.506 5.781
angles: 90.00 90.00 90.00
Element x y z (fractional)
1 Br 0.000 0.000 0.011
2 Br 0.500 0.500 0.822
3 Mg 0.500 0.000 0.652
4 Mg 0.000 0.500 0.181

# 4
# CsSr3

CsSr3 after structural relaxation (PBE, Alexandria via LeMat-Bulk).

SG	I4/mmm (139)
DFT formation energy	0.1584	eV per atom
Fermi-level density of states	4.88	states/eV per cell
crystal system	tetragonal
energy relative to the lowest polymorph listed for this composition	0.020	eV/atom
raw total energy	-1.316	eV per atom

abc: 7.637 7.637 7.637
angles: 130.71 130.71 72.27
Element x y z (fractional)
1 Cs 0.000 0.000 0.000
2 Sr 0.750 0.250 0.500
3 Sr 0.250 0.750 0.500
4 Sr 0.500 0.500 0.000

# 5
# TlFe2Hg

TlFe2Hg after structural relaxation (PBE, Alexandria via LeMat-Bulk).

SG	Cm (8)
DFT formation energy	0.4641	eV per atom
Fermi-level density of states	2.21	states/eV per cell
crystal system	monoclinic
energy relative to the lowest polymorph listed for this composition	0.083	eV/atom
raw total energy	-4.434	eV per atom

abc: 5.732 5.732 4.631
angles: 67.01 67.01 31.27
Element x y z (fractional)
1 Fe 0.039 0.039 0.964
2 Fe 0.718 0.718 0.779
3 Hg 0.479 0.479 0.523
4 Tl 0.264 0.264 0.234

# 6
# Y4HoPu

Y4HoPu after structural relaxation (PBE, Alexandria via LeMat-Bulk).

SG	C2/m (12)
DFT formation energy	0.0752	eV per atom
Fermi-level density of states	14.11	states/eV per cell
crystal system	monoclinic
raw total energy	-7.386	eV per atom

abc: 3.532 9.340 7.922
angles: 115.12 116.51 100.88
Element x y z (fractional)
1 Y 0.836 0.669 0.501
2 Y 0.164 0.331 0.499
3 Y 0.344 0.674 0.008
4 Y 0.655 0.326 0.992
5 Ho 0.000 0.000 0.000
6 Pu 0.500 0.000 0.500

Copy entry 2 word for word.
# CdAg2P

CdAg2P after structural relaxation (PBE, Alexandria via LeMat-Bulk).

SG	C2/m (12)
DFT formation energy	0.1938	eV per atom
Fermi-level density of states	1.45	states/eV per cell
crystal system	monoclinic
energy relative to the lowest polymorph listed for this composition	0.040	eV/atom
raw total energy	-2.813	eV per atom

abc: 4.895 4.895 5.413
angles: 77.93 77.93 35.51
Element x y z (fractional)
1 Ag 0.991 0.991 0.010
2 Ag 0.509 0.509 0.490
3 Cd 0.750 0.750 0.750
4 P 0.250 0.250 0.250

- The highest Fermi-level density of states belongs to which entry?
  Y4HoPu